No. 1
CdRe after structural relaxation. Source: the Alexandria database, functional PBE.

Lattice parameters (Å, degrees): 2.836 2.836 4.919 90.00 90.00 120.00
Sites, in units of the cell vectors:
Cd  0.000  0.000  0.000
Re  0.333  0.667  0.500

Calculated values
**Energy above the lowest structure with this stoichiometry**: 447.7 meV per atom
**E_form**: 673 meV per atom
**Symmetry**: P-6m2



No. 2
CdRe after structural relaxation. Source: the Alexandria database, functional PBE.

Lattice parameters (Å, degrees): 4.415 4.415 4.415 60.00 60.00 60.00
Sites, in units of the cell vectors:
Cd  0.000  0.000  0.000
Re  0.250  0.250  0.250

Calculated values
**Energy above the lowest structure with this stoichiometry**: 2615.9 meV per atom
**E_form**: 2841 meV per atom
**Symmetry**: F-43m



No. 3
Cd3Re after structural relaxation. Source: the Alexandria database, functional PBE.

Lattice parameters (Å, degrees): 5.769 5.769 5.769 151.09 63.28 125.05
Sites, in units of the cell vectors:
Cd  0.000  0.000  0.000
Cd  0.087  0.328  0.759
Cd  0.569  0.328  0.241
Re  0.518  0.018  0.500

Calculated values
**Energy above the lowest structure with this stoichiometry**: 90.0 meV per atom
**E_form**: 481 meV per atom
**Symmetry**: Imm2



No. 4
CdRe2 after structural relaxation. Source: the Alexandria database, functional PBE.

Lattice parameters (Å, degrees): 6.139 6.139 6.139 151.77 151.77 40.35
Sites, in units of the cell vectors:
Cd  0.000  0.000  0.000
Re  0.312  0.312  0.000
Re  0.688  0.688  0.000

Calculated values
**Energy above the lowest structure with this stoichiometry**: 83.9 meV per atom
**E_form**: 344 meV per atom
**Symmetry**: I4/mmm



No. 5
CdRe3 after structural relaxation. Source: the Alexandria database, functional PBE.

Lattice parameters (Å, degrees): 4.903 9.378 5.600 90.00 90.00 90.00
Sites, in units of the cell vectors:
Cd  0.071  0.250  0.138
Cd  0.429  0.750  0.638
Cd  0.571  0.250  0.362
Cd  0.929  0.750  0.862
Re  0.081  0.250  0.644
Re  0.237  0.514  0.362
Re  0.237  0.986  0.362
Re  0.263  0.014  0.862
Re  0.263  0.486  0.862
Re  0.419  0.750  0.144
Re  0.581  0.250  0.856
Re  0.737  0.514  0.138
Re  0.737  0.986  0.138
Re  0.763  0.014  0.638
Re  0.763  0.486  0.638
Re  0.919  0.750  0.356

Calculated values
**Energy above the lowest structure with this stoichiometry**: 240.4 meV per atom
**E_form**: 514 meV per atom
**Symmetry**: Pnma



No. 6
CdRe3 after structural relaxation. Source: the Alexandria database, functional PBE.

Lattice parameters (Å, degrees): 2.814 4.011 5.802 90.00 90.00 90.00
Sites, in units of the cell vectors:
Cd  0.000  0.000  0.000
Re  0.000  0.000  0.500
Re  0.500  0.500  0.287
Re  0.500  0.500  0.713

Calculated values
**Energy above the lowest structure with this stoichiometry**: 181.0 meV per atom
**E_form**: 454 meV per atom
**Symmetry**: Pmmm